VASP calculation (PBE) on a relaxed ReTcP2 crystal.

Unit cell a=4.639 b=4.639 c=4.639 alpha=131.34 beta=131.34 gamma=71.28
Fractional positions:
Tc 0.750 0.250 0.500
P 0.000 0.000 0.000
P 0.250 0.750 0.500
Re 0.500 0.500 0.000

## Properties
As for the total moment: 0.000 μB per formula unit. The value obtained for the excess energy over the best structure of this formula in the dataset is 563 meV/atom. As for the density of states at the Fermi level: 0.49 states/eV/atom. As for the formation energy: 0.27 eV per atom. The total energy is -8.139 eV/atom.